DFT (GGA-PBE) results for a geometry-optimized Pr7CoBr12 structure.

abc: 9.5785 9.5785 9.5785
angles: 106.50 106.50 106.50
Closest atoms and distances in Å follow each position.
Fractional positions:
1 Br 0.8333 0.6213 0.5387  3 Pr 2.94-3.14
2 Br 0.6791 0.2187 0.0720  3 Pr 3.01-3.27
3 Pr 0.9816 0.6947 0.8979  1 Co 2.74, 2 Br 3.01-3.02
4 Pr 0.1021 0.0184 0.3053  1 Co 2.74, 2 Br 3.01-3.02
5 Pr 0.5000 0.5000 0.5000  6 Br 2.94
6 Br 0.3209 0.7813 0.9280  3 Pr 3.01-3.27
7 Br 0.0720 0.6791 0.2187  3 Pr 3.01-3.27
8 Br 0.2187 0.0720 0.6791  3 Pr 3.01-3.27
9 Br 0.3787 0.4613 0.1667  3 Pr 2.94-3.14
10 Br 0.9280 0.3209 0.7813  3 Pr 3.01-3.27
11 Br 0.7813 0.9280 0.3209  3 Pr 3.01-3.27
12 Br 0.4613 0.1667 0.3787  3 Pr 2.94-3.14
13 Br 0.6213 0.5387 0.8333  3 Pr 2.94-3.14
14 Pr 0.8979 0.9816 0.6947  1 Co 2.74, 2 Br 3.01-3.02
15 Pr 0.6947 0.8979 0.9816  1 Co 2.74, 2 Br 3.01-3.02
16 Br 0.5387 0.8333 0.6213  3 Pr 2.94-3.14
17 Co 0.0000 0.0000 0.0000  6 Pr 2.74
18 Pr 0.3053 0.1021 0.0184  1 Co 2.74, 2 Br 3.01-3.02
19 Br 0.1667 0.3787 0.4613  3 Pr 2.94-3.14
20 Pr 0.0184 0.3053 0.1021  1 Co 2.74, 2 Br 3.01-3.02

Properties
symmetry: R-3, No. 148
total DFT energy (no corrections): -4.61 eV/atom
mass density: 4.49 g/cm³
density of states at the Fermi level: 6.78 states/eV/cell